Compound: Zn2MoRu
Source: Alexandria
Functional: GGA-PBE
Structure: relaxed

Properties
N(E_F): 3.51 states/eV per cell
total moment: 0.0000 μB/atom
final energy: -5.6185 eV/atom
energy relative to the lowest polymorph listed for this composition: 73 meV/atom

POSCAR file:
```
Zn2MoRu
1.0
9.170 0.017 0.010
8.746 2.754 0.010
8.746 1.353 2.399
Mo Zn Ru
1 2 1
Cartesian
13.233 2.047 1.200 Mo
0.086 0.013 0.008 Zn
6.627 1.025 0.601 Zn
20.046 3.100 1.818 Ru
```